(1)
Material: KSbMo
Method: DFT, PBE
State: optimized geometry

Cell: 7.3267 7.3267 7.3267 Å, 90.00 90.00 90.00°
Sites, in units of the cell vectors:
K 0.0000 0.0000 0.0000
K 0.0000 0.5000 0.5000
K 0.5000 0.0000 0.5000
K 0.5000 0.5000 0.0000
Sb 0.2500 0.2500 0.2500
Sb 0.2500 0.7500 0.7500
Sb 0.7500 0.2500 0.7500
Sb 0.7500 0.7500 0.2500
Mo 0.2500 0.2500 0.7500
Mo 0.2500 0.7500 0.2500
Mo 0.7500 0.2500 0.2500
Mo 0.7500 0.7500 0.7500

Calculated values
* electronic total energy: -3.789 eV per atom
* calculated volume: 393.3 Å³/cell
* magnetization: 15.99 Bohr magnetons per cell
* SG: No. 216
* polymorph energy (0 for the lowest one): 618 meV per atom



(2)
Material: K2Mo3Se18
Method: DFT, PBE
State: optimized geometry

Cell: 10.6441 12.8830 10.8256 Å, 90.00 116.70 90.00°
Sites, in units of the cell vectors:
K 0.0820 0.0000 0.0029
K 0.2354 0.4722 0.6643
K 0.7646 0.9722 0.3357
K 0.9180 0.5000 0.9971
Mo 0.2589 0.0532 0.6619
Mo 0.4120 0.0461 0.5113
Mo 0.4475 0.5645 0.2005
Mo 0.5525 0.0645 0.7995
Mo 0.5880 0.5461 0.4887
Mo 0.7411 0.5532 0.3381
Se 0.0345 0.9660 0.6702
Se 0.0508 0.2368 0.8365
Se 0.0628 0.1951 0.6258
Se 0.0668 0.7795 0.7026
Se 0.0924 0.7427 0.9316
Se 0.1339 0.0662 0.3901
Se 0.2215 0.5050 0.9716
Se 0.2392 0.9027 0.4950
Se 0.2632 0.3189 0.9879
Se 0.3145 0.5752 0.3581
Se 0.3329 0.7472 0.1063
Se 0.3874 0.7281 0.6807
Se 0.3950 0.0948 0.9272
Se 0.3953 0.1539 0.2988
Se 0.3986 0.2047 0.6380
Se 0.4073 0.4143 0.3354
Se 0.4089 0.9234 0.8506
Se 0.4109 0.9721 0.2786
Se 0.5891 0.4721 0.7214
Se 0.5911 0.4234 0.1494
Se 0.5927 0.9143 0.6646
Se 0.6014 0.7047 0.3620
Se 0.6050 0.5948 0.0728
Se 0.6047 0.6539 0.7012
Se 0.6126 0.2281 0.3193
Se 0.6671 0.2472 0.8937
Se 0.6855 0.0752 0.6419
Se 0.7368 0.8189 0.0121
Se 0.7608 0.4027 0.5050
Se 0.7785 0.0050 0.0284
Se 0.8661 0.5662 0.6099
Se 0.9076 0.2427 0.0684
Se 0.9332 0.2795 0.2974
Se 0.9372 0.6951 0.3742
Se 0.9492 0.7368 0.1635
Se 0.9655 0.4660 0.3298

Calculated values
* electronic total energy: -4.660 eV per atom
* calculated volume: 1326.2 Å³/cell
* magnetization: 0.04 Bohr magnetons per cell
* SG: No. 4



(3)
Material: K2MoSe3
Method: DFT, PBE
State: optimized geometry

Cell: 7.0037 7.5043 8.7335 Å, 74.38 70.35 67.21°
Sites, in units of the cell vectors:
K 0.1053 0.1987 0.1190
K 0.3520 0.5497 0.3053
K 0.6480 0.4503 0.6947
K 0.8947 0.8013 0.8810
Mo 0.3708 0.0535 0.6628
Mo 0.6292 0.9465 0.3372
Se 0.1615 0.3812 0.7155
Se 0.2646 0.9502 0.4733
Se 0.3678 0.8211 0.9116
Se 0.6322 0.1789 0.0884
Se 0.7354 0.0498 0.5267
Se 0.8385 0.6188 0.2845

Calculated values
* electronic total energy: -4.737 eV per atom
* calculated volume: 393.4 Å³/cell
* magnetization: 1.93 Bohr magnetons per cell
* SG: No. 2



- Look up the calculated volume of the third one.
  393.4 Å³/cell



- Which of these has the lowest magnetization?
  K2Mo3Se18



- Which value of magnetization does entry 3 give?
  1.93 Bohr magnetons per cell



- What is the magnetization in the first record?
  15.99 Bohr magnetons per cell